The following is a DFT calculation (PBE-GGA) of Pr2CuH after structural relaxation.

abc: 3.3864 3.3864 7.2057
angles: 90.00 90.00 90.00
Fractional coordinates of all 4 atoms:
Pr1 0.0000 0.0000 0.2364
Pr2 0.0000 0.0000 0.7636
Cu1 0.5000 0.5000 0.5000
H1 0.5000 0.5000 0.0000

Output
total moment	0.0	μB/cell
SG	P4/mmm, No. 123
energy relative to the lowest polymorph listed for this composition	137	meV per atom



The following is a DFT calculation (PBE-GGA) of Dy3Tl3Ag2 after structural relaxation.

abc: 6.0944 6.0944 15.5578
angles: 90.00 90.00 134.77
Fractional coordinates of all 16 atoms:
Dy1 0.0823 0.9177 0.6087
Dy2 0.0823 0.9177 0.8913
Dy3 0.3415 0.6585 0.7500
Dy4 0.6585 0.3415 0.2500
Dy5 0.9177 0.0823 0.1087
Dy6 0.9177 0.0823 0.3913
Tl1 0.3780 0.6220 0.5383
Tl2 0.3780 0.6220 0.9617
Tl3 0.3797 0.6203 0.2500
Tl4 0.6203 0.3797 0.7500
Tl5 0.6220 0.3780 0.0383
Tl6 0.6220 0.3780 0.4617
Ag1 0.2082 0.7918 0.1132
Ag2 0.2082 0.7918 0.3868
Ag3 0.7918 0.2082 0.6132
Ag4 0.7918 0.2082 0.8868

Output
total moment	0.0	μB/cell
SG	Cmcm, No. 63
energy relative to the lowest polymorph listed for this composition	42	meV per atom
ΔE_f	-24	kJ/mol of atoms



The following is a DFT calculation (PBE-GGA) of Re2Ru after structural relaxation.

abc: 6.1511 6.1511 3.8778
angles: 90.00 90.00 143.25
Fractional coordinates of all 6 atoms:
Re1 0.0834 0.9166 0.7500
Re2 0.2499 0.7501 0.2500
Re3 0.7501 0.2499 0.7500
Re4 0.9166 0.0834 0.2500
Ru1 0.4183 0.5817 0.7500
Ru2 0.5817 0.4183 0.2500

Output
total moment	0.0	μB/cell
SG	Cmcm, No. 63
energy relative to the lowest polymorph listed for this composition	103	meV per atom
ΔE_f	4	kJ/mol of atoms



The following is a DFT calculation (PBE-GGA) of BaSi3Pd6 after structural relaxation.

abc: 6.9757 6.9757 6.9757
angles: 48.83 48.83 48.83
Fractional coordinates of all 10 atoms:
Ba1 0.0000 0.0000 0.0000
Si1 0.2894 0.2894 0.2894
Si2 0.6265 0.6265 0.6265
Si3 0.8289 0.8289 0.8289
Pd1 0.0639 0.5658 0.5548
Pd2 0.2947 0.4385 0.8599
Pd3 0.4385 0.8599 0.2947
Pd4 0.5548 0.0639 0.5658
Pd5 0.5658 0.5548 0.0638
Pd6 0.8599 0.2947 0.4385

Output
total moment	0.0	μB/cell
SG	R3, No. 146
E_form (uncorrected)	-0.558	eV/atom



The following is a DFT calculation (PBE-GGA) of Si2PRu after structural relaxation.

abc: 4.5437 4.5437 4.7265
angles: 102.24 102.24 37.16
Fractional coordinates of all 4 atoms:
Si1 0.0000 0.0000 0.0000
Si2 0.2081 0.2081 0.6945
P1 0.4235 0.4235 0.4785
Ru1 0.7434 0.7434 0.1404

Output
total moment	0.0	μB/cell
SG	Cm, No. 8
E_form (uncorrected)	0.015	eV/atom



The following is a DFT calculation (PBE-GGA) of NbMoC after structural relaxation.

abc: 6.2020 5.7334 7.2481
angles: 55.61 49.72 74.67
Fractional coordinates of all 12 atoms:
Nb1 0.0410 0.9590 0.7991
Nb2 0.0491 0.4509 0.2910
Nb3 0.4509 0.0491 0.2090
Nb4 0.9590 0.0410 0.2009
Mo1 0.4492 0.5390 0.7041
Mo2 0.5390 0.4492 0.3077
Mo3 0.5459 0.9423 0.8008
Mo4 0.9423 0.5459 0.7110
C1 0.2535 0.7403 0.2574
C2 0.5011 0.9926 0.5097
C3 0.7403 0.2535 0.7489
C4 0.9926 0.5011 0.9965

Output
total moment	0.0	μB/cell
SG	Fdd2, No. 43
ΔE_f	-30	kJ/mol of atoms